# 1
A plane-wave DFT calculation with PBE-GGA was carried out for an optimized crystal structure of NaZr3Sc.

a b c (Å): 5.204 5.204 5.204
angles (deg): 90.00 90.00 90.00
Fractional positions:
Na1 0.000 0.000 0.000
Zr1 0.000 0.500 0.500
Zr2 0.500 0.000 0.500
Zr3 0.500 0.500 0.000
Sc1 0.500 0.500 0.500

Properties
V	140.96	Å³/f.u.
energy above the most stable polymorph in this dataset	0	meV/atom
E_tot	-27.6	eV/cell
ΔE_f	1.131	eV per atom


# 2
A plane-wave DFT calculation with PBE-GGA was carried out for an optimized crystal structure of Ce2ErThSe4.

a b c (Å): 7.180 4.142 7.261
angles (deg): 90.00 109.21 90.00
Fractional positions:
Ce1 0.000 0.000 0.000
Ce2 0.000 0.500 0.500
Er1 0.500 0.000 0.500
Th1 0.500 0.500 0.000
Se1 0.254 0.000 0.742
Se2 0.260 0.500 0.262
Se3 0.740 0.500 0.738
Se4 0.746 0.000 0.258

Properties
V	203.95	Å³/f.u.
E_tot	-51.6	eV/cell


# 3
A plane-wave DFT calculation with PBE-GGA was carried out for an optimized crystal structure of TaAlNi2.

a b c (Å): 8.871 2.786 4.508
angles (deg): 90.00 101.79 90.00
Fractional positions:
Ta1 0.000 0.000 0.000
Ta2 0.500 0.500 0.000
Al1 0.267 0.500 0.356
Al2 0.767 0.000 0.356
Ni1 0.007 0.500 0.507
Ni2 0.249 0.000 0.820
Ni3 0.507 0.000 0.507
Ni4 0.749 0.500 0.820

Properties
V	54.54	Å³/f.u.
E_tot	-56.7	eV/cell
ΔE_f	-0.297	eV per atom


# 4
A plane-wave DFT calculation with PBE-GGA was carried out for an optimized crystal structure of NaCa2PuCl8.

a b c (Å): 6.394 6.559 8.448
angles (deg): 90.44 90.44 90.10
Fractional positions:
Na1 0.000 0.000 0.000
Ca1 0.500 0.499 0.760
Ca2 0.500 0.501 0.240
Pu1 0.000 0.000 0.500
Cl1 0.215 0.818 0.738
Cl2 0.221 0.825 0.262
Cl3 0.283 0.323 0.497
Cl4 0.287 0.324 0.998
Cl5 0.713 0.676 0.002
Cl6 0.717 0.677 0.503
Cl7 0.779 0.175 0.738
Cl8 0.785 0.182 0.262

Properties
V	354.28	Å³/f.u.
E_tot	-59.9	eV/cell


# 5
A plane-wave DFT calculation with PBE-GGA was carried out for an optimized crystal structure of PuTl2BrCl4.

a b c (Å): 12.111 4.292 12.242
angles (deg): 90.00 114.00 90.00
Fractional positions:
Pu1 0.000 0.000 0.000
Pu2 0.500 0.500 0.000
Tl1 0.125 0.000 0.702
Tl2 0.375 0.500 0.298
Tl3 0.625 0.500 0.702
Tl4 0.875 0.000 0.298
Br1 0.000 0.500 0.500
Br2 0.500 0.000 0.500
Cl1 0.119 0.500 0.953
Cl2 0.146 0.000 0.231
Cl3 0.354 0.500 0.769
Cl4 0.381 0.000 0.047
Cl5 0.619 0.000 0.953
Cl6 0.646 0.500 0.231
Cl7 0.854 0.000 0.769
Cl8 0.881 0.500 0.047

Properties
V	290.70	Å³/f.u.
E_tot	-78.7	eV/cell


# 6
A plane-wave DFT calculation with PBE-GGA was carried out for an optimized crystal structure of NdYHo2P4.

a b c (Å): 6.996 4.042 6.997
angles (deg): 90.00 109.46 90.00
Fractional positions:
Nd1 0.000 0.000 0.000
Y1 0.500 0.500 0.000
Ho1 0.000 0.500 0.500
Ho2 0.500 0.000 0.500
P1 0.252 0.000 0.745
P2 0.257 0.500 0.258
P3 0.743 0.500 0.742
P4 0.748 0.000 0.255

Properties
V	186.55	Å³/f.u.
E_tot	-54.7	eV/cell
ΔE_f	-1.590	eV per atom


# 7
A plane-wave DFT calculation with PBE-GGA was carried out for an optimized crystal structure of Ba3Mg2Cd2.

a b c (Å): 7.164 8.960 16.661
angles (deg): 90.00 90.00 90.00
Fractional positions:
Ba1 0.102 0.096 0.105
Ba2 0.102 0.096 0.395
Ba3 0.102 0.404 0.605
Ba4 0.102 0.404 0.895
Ba5 0.361 0.742 0.250
Ba6 0.361 0.758 0.750
Ba7 0.639 0.242 0.250
Ba8 0.639 0.258 0.750
Ba9 0.898 0.596 0.105
Ba10 0.898 0.596 0.395
Ba11 0.898 0.904 0.605
Ba12 0.898 0.904 0.895
Mg1 0.398 0.051 0.581
Mg2 0.398 0.051 0.919
Mg3 0.398 0.449 0.081
Mg4 0.398 0.449 0.419
Mg5 0.602 0.551 0.581
Mg6 0.602 0.551 0.919
Mg7 0.602 0.949 0.081
Mg8 0.602 0.949 0.419
Cd1 0.171 0.118 0.750
Cd2 0.171 0.382 0.250
Cd3 0.325 0.750 0.000
Cd4 0.325 0.750 0.500
Cd5 0.675 0.250 0.000
Cd6 0.675 0.250 0.500
Cd7 0.829 0.618 0.750
Cd8 0.829 0.882 0.250

Properties
V	267.38	Å³/f.u.
E_tot	-48.1	eV/cell
ΔE_f	-0.178	eV per atom


# 8
A plane-wave DFT calculation with PBE-GGA was carried out for an optimized crystal structure of CsSBr2.

a b c (Å): 5.443 5.080 5.836
angles (deg): 90.00 103.26 90.00
Fractional positions:
Cs1 0.000 0.000 0.000
S1 0.467 0.500 0.365
Br1 0.452 0.500 0.864
Br2 0.887 0.500 0.475

Properties
V	157.08	Å³/f.u.
energy above the most stable polymorph in this dataset	262	meV/atom
E_tot	-10.9	eV/cell


# 9
A plane-wave DFT calculation with PBE-GGA was carried out for an optimized crystal structure of Sr2Pa3O10.

a b c (Å): 10.479 10.479 8.131
angles (deg): 110.37 110.37 38.10
Fractional positions:
Sr1 0.106 0.106 0.181
Sr2 0.186 0.186 0.826
Sr3 0.814 0.814 0.174
Sr4 0.894 0.894 0.819
Pa1 0.246 0.754 0.500
Pa2 0.311 0.311 0.455
Pa3 0.415 0.415 0.020
Pa4 0.585 0.585 0.980
Pa5 0.689 0.689 0.545
Pa6 0.754 0.246 0.500
O1 0.000 0.500 0.500
O2 0.002 0.002 0.671
O3 0.104 0.616 0.012
O4 0.137 0.631 0.422
O5 0.246 0.246 0.194
O6 0.299 0.701 0.000
O7 0.366 0.366 0.734
O8 0.369 0.863 0.578
O9 0.384 0.896 0.988
O10 0.486 0.486 0.322
O11 0.500 0.000 0.500
O12 0.514 0.514 0.678
O13 0.616 0.104 0.012
O14 0.631 0.137 0.422
O15 0.634 0.634 0.266
O16 0.701 0.299 0.000
O17 0.754 0.754 0.806
O18 0.863 0.369 0.578
O19 0.896 0.384 0.988
O20 0.998 0.998 0.329

Properties
V	256.13	Å³/f.u.
E_tot	-258.7	eV/cell


# 10
A plane-wave DFT calculation with PBE-GGA was carried out for an optimized crystal structure of Zr7In2Ge2.

a b c (Å): 6.446 6.446 6.476
angles (deg): 90.00 90.00 103.47
Fractional positions:
Zr1 0.000 0.000 0.000
Zr2 0.000 0.500 0.265
Zr3 0.000 0.500 0.735
Zr4 0.500 0.000 0.265
Zr5 0.500 0.000 0.735
Zr6 0.500 0.500 0.256
Zr7 0.500 0.500 0.744
In1 0.175 0.175 0.500
In2 0.825 0.825 0.500
Ge1 0.278 0.722 0.000
Ge2 0.722 0.278 0.000

Properties
V	261.65	Å³/f.u.
E_tot	-76.0	eV/cell
ΔE_f	-0.133	eV per atom


# 11
A plane-wave DFT calculation with PBE-GGA was carried out for an optimized crystal structure of CaB2PdCl.

a b c (Å): 4.969 4.969 4.996
angles (deg): 90.00 90.00 90.00
Fractional positions:
Ca1 0.000 0.000 0.000
B1 0.000 0.500 0.000
B2 0.500 0.000 0.000
Pd1 0.500 0.500 0.500
Cl1 0.000 0.000 0.500

Properties
V	123.34	Å³/f.u.
E_tot	-14.0	eV/cell


# 12
A plane-wave DFT calculation with PBE-GGA was carried out for an optimized crystal structure of Rb2CeDy2Se6.

a b c (Å): 7.269 7.269 8.545
angles (deg): 98.21 98.21 120.01
Fractional positions:
Rb1 0.167 0.833 0.000
Rb2 0.833 0.167 0.000
Ce1 0.000 0.000 0.500
Dy1 0.333 0.667 0.500
Dy2 0.667 0.333 0.500
Se1 0.064 0.396 0.691
Se2 0.268 0.268 0.309
Se3 0.396 0.064 0.691
Se4 0.604 0.936 0.309
Se5 0.732 0.732 0.691
Se6 0.936 0.604 0.309

Properties
V	374.74	Å³/f.u.
E_tot	-56.9	eV/cell


# 13
A plane-wave DFT calculation with PBE-GGA was carried out for an optimized crystal structure of CsEr3Se4O12.

a b c (Å): 7.628 7.628 7.628
angles (deg): 107.46 107.46 107.46
Fractional positions:
Cs1 0.000 0.000 0.000
Er1 0.000 0.569 0.431
Er2 0.431 0.000 0.569
Er3 0.569 0.431 0.000
Se1 0.070 0.500 0.930
Se2 0.500 0.500 0.500
Se3 0.500 0.930 0.070
Se4 0.930 0.070 0.500
O1 0.084 0.623 0.774
O2 0.116 0.884 0.500
O3 0.226 0.377 0.916
O4 0.344 0.656 0.500
O5 0.377 0.916 0.226
O6 0.500 0.116 0.884
O7 0.500 0.344 0.656
O8 0.623 0.774 0.084
O9 0.656 0.500 0.344
O10 0.774 0.084 0.623
O11 0.884 0.500 0.116
O12 0.916 0.226 0.377

Properties
V	365.01	Å³/f.u.
E_tot	-120.7	eV/cell


# 14
A plane-wave DFT calculation with PBE-GGA was carried out for an optimized crystal structure of CeTmSe2S.

a b c (Å): 4.175 4.175 14.362
angles (deg): 90.00 90.00 90.00
Fractional positions:
Ce1 0.250 0.250 0.124
Ce2 0.750 0.750 0.876
Tm1 0.250 0.250 0.603
Tm2 0.750 0.750 0.397
Se1 0.250 0.250 0.402
Se2 0.250 0.250 0.792
Se3 0.750 0.750 0.208
Se4 0.750 0.750 0.598
S1 0.250 0.750 0.000
S2 0.750 0.250 0.000

Properties
V	125.16	Å³/f.u.
E_tot	-60.4	eV/cell


# 15
A plane-wave DFT calculation with PBE-GGA was carried out for an optimized crystal structure of SrPmRh.

a b c (Å): 7.108 7.108 7.108
angles (deg): 90.00 90.00 90.00
Fractional positions:
Sr1 0.000 0.000 0.000
Sr2 0.000 0.500 0.500
Sr3 0.500 0.000 0.500
Sr4 0.500 0.500 0.000
Pm1 0.000 0.000 0.500
Pm2 0.000 0.500 0.000
Pm3 0.500 0.000 0.000
Pm4 0.500 0.500 0.500
Rh1 0.250 0.250 0.750
Rh2 0.250 0.750 0.250
Rh3 0.750 0.250 0.250
Rh4 0.750 0.750 0.750

Properties
V	89.78	Å³/f.u.
energy above the most stable polymorph in this dataset	156	meV/atom
E_tot	-58.6	eV/cell
ΔE_f	-0.293	eV per atom


# 16
A plane-wave DFT calculation with PBE-GGA was carried out for an optimized crystal structure of Ac3La5Sb8.

a b c (Å): 9.390 9.390 9.390
angles (deg): 59.99 59.99 59.99
Fractional positions:
Ac1 0.000 0.500 0.500
Ac2 0.500 0.000 0.500
Ac3 0.500 0.500 0.000
La1 0.000 0.000 0.000
La2 0.000 0.000 0.500
La3 0.000 0.500 0.000
La4 0.500 0.000 0.000
La5 0.500 0.500 0.500
Sb1 0.243 0.750 0.750
Sb2 0.247 0.247 0.247
Sb3 0.250 0.250 0.757
Sb4 0.250 0.757 0.250
Sb5 0.750 0.243 0.750
Sb6 0.750 0.750 0.243
Sb7 0.753 0.753 0.753
Sb8 0.757 0.250 0.250

Properties
V	585.23	Å³/f.u.
E_tot	-89.9	eV/cell


# 17
A plane-wave DFT calculation with PBE-GGA was carried out for an optimized crystal structure of Ce3Er2Ru2.

a b c (Å): 11.319 3.795 8.567
angles (deg): 90.00 109.50 90.00
Fractional positions:
Ce1 0.000 0.000 0.000
Ce2 0.125 0.000 0.435
Ce3 0.375 0.500 0.565
Ce4 0.500 0.500 0.000
Ce5 0.625 0.500 0.435
Ce6 0.875 0.000 0.565
Er1 0.162 0.500 0.802
Er2 0.338 0.000 0.198
Er3 0.662 0.000 0.802
Er4 0.838 0.500 0.198
Ru1 0.139 0.500 0.200
Ru2 0.361 0.000 0.800
Ru3 0.639 0.000 0.200
Ru4 0.861 0.500 0.800

Properties
V	173.43	Å³/f.u.
E_tot	-94.7	eV/cell
ΔE_f	-0.266	eV per atom


# 18
A plane-wave DFT calculation with PBE-GGA was carried out for an optimized crystal structure of Rb4Pu3ScO8.

a b c (Å): 7.703 7.703 7.703
angles (deg): 54.48 54.48 54.48
Fractional positions:
Rb1 0.000 0.000 0.000
Rb2 0.000 0.500 0.500
Rb3 0.500 0.000 0.500
Rb4 0.500 0.500 0.000
Pu1 0.000 0.000 0.500
Pu2 0.000 0.500 0.000
Pu3 0.500 0.000 0.000
Sc1 0.500 0.500 0.500
O1 0.226 0.226 0.226
O2 0.240 0.716 0.716
O3 0.284 0.284 0.760
O4 0.284 0.760 0.284
O5 0.716 0.240 0.716
O6 0.716 0.716 0.240
O7 0.760 0.284 0.284
O8 0.774 0.774 0.774

Properties
V	281.58	Å³/f.u.
E_tot	-131.1	eV/cell


# 19
A plane-wave DFT calculation with PBE-GGA was carried out for an optimized crystal structure of KHgRh2.

a b c (Å): 2.871 4.822 6.377
angles (deg): 90.00 97.46 90.00
Fractional positions:
K1 0.000 0.000 0.000
Hg1 0.500 0.000 0.500
Rh1 0.286 0.500 0.674
Rh2 0.714 0.500 0.326

Properties
V	87.54	Å³/f.u.
E_tot	-14.2	eV/cell
ΔE_f	0.485	eV per atom


# 20
A plane-wave DFT calculation with PBE-GGA was carried out for an optimized crystal structure of Rb3Pr2NdS6.

a b c (Å): 7.357 7.357 8.106
angles (deg): 98.70 98.70 120.00
Fractional positions:
Rb1 0.000 0.000 0.000
Rb2 0.333 0.667 0.000
Rb3 0.667 0.333 0.000
Pr1 0.167 0.833 0.500
Pr2 0.833 0.167 0.500
Nd1 0.500 0.500 0.500
S1 0.102 0.434 0.302
S2 0.234 0.234 0.698
S3 0.434 0.102 0.302
S4 0.566 0.898 0.698
S5 0.766 0.766 0.302
S6 0.898 0.566 0.698

Properties
V	362.14	Å³/f.u.
E_tot	-63.8	eV/cell


# 21
A plane-wave DFT calculation with PBE-GGA was carried out for an optimized crystal structure of TaGaGe.

a b c (Å): 3.691 14.408 3.730
angles (deg): 90.00 90.00 90.00
Fractional positions:
Ta1 0.000 0.100 0.250
Ta2 0.000 0.900 0.750
Ta3 0.500 0.400 0.750
Ta4 0.500 0.600 0.250
Ga1 0.000 0.250 0.750
Ga2 0.000 0.750 0.250
Ga3 0.500 0.250 0.250
Ga4 0.500 0.750 0.750
Ge1 0.000 0.433 0.250
Ge2 0.000 0.567 0.750
Ge3 0.500 0.067 0.750
Ge4 0.500 0.933 0.250

Properties
V	49.60	Å³/f.u.
energy above the most stable polymorph in this dataset	0	meV/atom
E_tot	-80.1	eV/cell
ΔE_f	-0.175	eV per atom


# 22
A plane-wave DFT calculation with PBE-GGA was carried out for an optimized crystal structure of Ba2AlCuSn.

a b c (Å): 6.099 6.099 4.710
angles (deg): 90.00 90.00 90.00
Fractional positions:
Ba1 0.000 0.500 0.000
Ba2 0.500 0.000 0.000
Al1 0.000 0.000 0.500
Cu1 0.000 0.000 0.000
Sn1 0.500 0.500 0.500

Properties
V	175.20	Å³/f.u.
E_tot	-16.3	eV/cell
ΔE_f	-0.131	eV per atom